No. 1
A relaxed structure of PbCl2F2, computed with PBE-GGA.

## Properties
ΔE_f (raw) ... -6.9 eV/f.u.
Uncorrected energy ... -18.013 eV for the cell shown
Total magnetization ... 0.00 μB/f.u.
SG ... C2/m (12)

a = 4.0844 Å, b = 4.1308 Å, c = 8.2706 Å
α = 98.62°, β = 90.00°, γ = 119.63°
Sites, in units of the cell vectors:
F 0.3123 0.6246 0.8918
Cl 0.9078 0.8156 0.3926
F 0.6877 0.3754 0.1082
Cl 0.0922 0.1844 0.6074
Pb 0.0000 0.0000 0.0000

---

No. 2
A relaxed structure of Pb4ClF8, computed with PBE-GGA.

## Properties
ΔE_f (raw) ... -27.1 eV/f.u.
Uncorrected energy ... -58.779 eV for the cell shown
Total magnetization ... 0.00 μB/f.u.
SG ... Pm-3m (221)

a = 6.0715 Å, b = 6.0715 Å, c = 6.0715 Å
α = 90.00°, β = 90.00°, γ = 90.00°
Sites, in units of the cell vectors:
Pb 0.0000 0.0000 0.0000
Cl 0.5000 0.5000 0.5000
F 0.2285 0.2285 0.7715
F 0.7715 0.7715 0.7715
F 0.7715 0.2285 0.2285
F 0.7715 0.7715 0.2285
F 0.7715 0.2285 0.7715
F 0.2285 0.7715 0.2285
Pb 0.5000 0.5000 0.0000
F 0.2285 0.7715 0.7715
F 0.2285 0.2285 0.2285
Pb 0.0000 0.5000 0.5000
Pb 0.5000 0.0000 0.5000

---

No. 3
A relaxed structure of PbClF3, computed with PBE-GGA.

## Properties
ΔE_f (raw) ... -6.7 eV/f.u.
Uncorrected energy ... -17.908 eV for the cell shown
Total magnetization ... 0.88 μB/f.u.
SG ... Pm-3m (221)

a = 4.5016 Å, b = 4.5016 Å, c = 4.5016 Å
α = 90.00°, β = 90.00°, γ = 90.00°
Last column: magnetic moment on the atom in μB.
Sites, in units of the cell vectors:
Pb 0.0000 0.0000 0.0000  0.00
F 0.0000 0.0000 0.5000  0.02
F 0.5000 0.0000 0.0000  0.04
F 0.0000 0.5000 0.0000  0.02
Cl 0.5000 0.5000 0.5000  0.59

---

No. 4
A relaxed structure of Pb2ClF, computed with PBE-GGA.

## Properties
ΔE_f (raw) ... -3.8 eV/f.u.
Uncorrected energy ... -29.821 eV for the cell shown
Total magnetization ... 0.00 μB/f.u.
SG ... I-42d (122)

a = 5.3616 Å, b = 5.3616 Å, c = 9.2402 Å
α = 73.13°, β = 73.13°, γ = 90.00°
Sites, in units of the cell vectors:
Cl 0.7500 0.2500 0.5000
F 0.2500 0.7500 0.5000
Cl 0.0000 0.0000 0.0000
Pb 0.5200 0.1250 0.2500
Pb 0.8750 0.7700 0.7500
Pb 0.3750 0.4800 0.7500
Pb 0.2300 0.6250 0.2500
F 0.5000 0.5000 0.0000

---

No. 5
A relaxed structure of Pb2ClF2, computed with PBE-GGA.

## Properties
ΔE_f (raw) ... -8.3 eV/f.u.
Uncorrected energy ... -42.632 eV for the cell shown
Total magnetization ... 0.00 μB/f.u.
SG ... P-1 (2)

a = 4.5799 Å, b = 6.2482 Å, c = 8.7155 Å
α = 89.28°, β = 74.82°, γ = 89.44°
Sites, in units of the cell vectors:
F 0.3718 0.2472 0.2601
Pb 0.1734 0.7519 0.6499
Pb 0.4744 0.7467 0.0480
Cl 0.8281 0.7001 0.3390
Cl 0.1719 0.2999 0.6610
F 0.6282 0.7528 0.7399
F 0.0367 0.7544 0.9237
Pb 0.8266 0.2481 0.3501
Pb 0.5256 0.2533 0.9520
F 0.9633 0.2456 0.0763

---

No. 6
A relaxed structure of PbCl2F, computed with PBE-GGA.

## Properties
ΔE_f (raw) ... -4.2 eV/f.u.
Uncorrected energy ... -27.037 eV for the cell shown
Total magnetization ... 0.00 μB/f.u.
SG ... I-42d (122)

a = 8.8229 Å, b = 8.8229 Å, c = 6.7170 Å
α = 48.95°, β = 48.95°, γ = 90.00°
Sites, in units of the cell vectors:
F 0.2500 0.7500 0.5000
Cl 0.6419 0.1250 0.2500
Cl 0.8750 0.8919 0.7500
Cl 0.1081 0.6250 0.2500
F 0.5000 0.5000 0.0000
Pb 0.7500 0.2500 0.5000
Cl 0.3750 0.3581 0.7500
Pb 0.0000 0.0000 0.0000

---

No. 7
A relaxed structure of Rb2PbCl2F2, computed with PBE-GGA.

## Properties
ΔE_f (raw) ... -14.8 eV/f.u.
Uncorrected energy ... -27.913 eV for the cell shown
Total magnetization ... 0.00 μB/f.u.
SG ... I4/mmm (139)

a = 4.8620 Å, b = 4.8620 Å, c = 9.2712 Å
α = 105.20°, β = 105.20°, γ = 90.00°
Sites, in units of the cell vectors:
F 0.0000 0.5000 0.0000
Cl 0.1695 0.1695 0.3390
Rb 0.3626 0.3626 0.7252
Pb 0.0000 0.0000 0.0000
F 0.5000 0.0000 0.0000
Cl 0.8305 0.8305 0.6610
Rb 0.6374 0.6374 0.2748

---

No. 8
A relaxed structure of RbPbClF2, computed with PBE-GGA.

## Properties
ΔE_f (raw) ... -10.7 eV/f.u.
Uncorrected energy ... -20.993 eV for the cell shown
Total magnetization ... 0.00 μB/f.u.
SG ... P4/mmm (123)

a = 4.8386 Å, b = 4.8386 Å, c = 5.8866 Å
α = 90.00°, β = 90.00°, γ = 90.00°
Sites, in units of the cell vectors:
F 0.5000 0.0000 0.0000
Pb 0.0000 0.0000 0.0000
F 0.0000 0.5000 0.0000
Rb 0.5000 0.5000 0.5000
Cl 0.0000 0.0000 0.5000